No. 1
ZrSi3Cl PBE optimized geometry; formation energy without anion corrections = 0.806 eV/atom; symmetry = No. 221; calculated total energy = -4.53 eV per atom
1.0
4.5886 0.0000 0.0000
0.0000 4.5886 0.0000
0.0000 0.0000 4.5886
Si Zr Cl
3 1 1
direct
0.0000 0.5000 0.0000
0.5000 0.0000 0.0000
0.0000 0.0000 0.5000
0.5000 0.5000 0.5000
0.0000 0.0000 0.0000

***

No. 2
ZrSi2Cl PBE optimized geometry; formation energy without anion corrections = 0.114 eV/atom; symmetry = No. 166; calculated total energy = -5.20 eV per atom
1.0
8.4860 -0.0182 -0.0107
7.8876 3.1301 -0.0107
7.8876 1.4991 2.7478
Zr Cl Si
1 1 2
direct
0.2500 0.2500 0.2500
0.7500 0.7500 0.7500
0.9995 0.9995 0.9995
0.5005 0.5005 0.5005

***

No. 3
ZrSiCl2 PBE optimized geometry; formation energy without anion corrections = -0.119 eV/atom; symmetry = No. 225; calculated total energy = -4.53 eV per atom
1.0
1.7355 -3.3808 -2.7385
-2.2453 -4.0938 -0.3750
-2.1712 -1.1229 -3.9957
Cl Zr Si
2 1 1
direct
0.2500 0.2500 0.2500
0.7500 0.7500 0.7500
0.5000 0.5000 0.5000
0.0000 0.0000 0.0000

***

No. 4
ZrSi3Cl PBE optimized geometry; formation energy without anion corrections = 0.830 eV/atom; symmetry = No. 221; calculated total energy = -4.50 eV per atom
1.0
5.1893 0.0000 0.0000
0.0000 5.1893 0.0000
0.0000 0.0000 5.1893
Si Cl Zr
3 1 1
direct
0.0000 0.0000 0.5000
0.0000 0.5000 0.0000
0.5000 0.0000 0.0000
0.5000 0.5000 0.5000
0.0000 0.0000 0.0000

***

No. 5
ZrSiCl PBE optimized geometry; formation energy without anion corrections = -0.045 eV/atom; symmetry = No. 216; calculated total energy = -5.32 eV per atom
1.0
-0.5316 3.8278 -2.4482
1.1517 0.0623 -4.4270
-3.2542 0.2306 -3.2071
Si Zr Cl
1 1 1
direct
0.5000 0.5000 0.5000
0.7500 0.7500 0.7500
0.0000 0.0000 0.0000

***

No. 6
Zr2SiCl PBE optimized geometry; formation energy without anion corrections = -0.614 eV/atom; symmetry = No. 10; calculated total energy = -6.71 eV per atom
1.0
3.4973 0.0000 0.0000
0.0000 3.2047 -0.0058
0.0000 -0.2906 7.3652
Zr Cl Si
2 1 1
direct
0.0000 0.1864 0.9552
0.0000 0.3136 0.5448
0.5000 0.2500 0.2500
0.5000 0.7500 0.7500

***

> Which value of calculated total energy does entry 3 give?

-4.53 eV per atom

***

> What is the formula in the first record?

ZrSi3Cl

***

Copy entry 3 word for word.
ZrSiCl2 PBE optimized geometry; formation energy without anion corrections = -0.119 eV/atom; symmetry = No. 225; calculated total energy = -4.53 eV per atom
1.0
1.7355 -3.3808 -2.7385
-2.2453 -4.0938 -0.3750
-2.1712 -1.1229 -3.9957
Cl Zr Si
2 1 1
direct
0.2500 0.2500 0.2500
0.7500 0.7500 0.7500
0.5000 0.5000 0.5000
0.0000 0.0000 0.0000